Entry 1:
Rb3LaBi2Te6: relaxed, PBE-GGA.

Geometry as CIF:
```
data_Rb3LaBi2Te6
_chemical_formula_sum 'Rb3 La1 Bi2 Te6'
_space_group_name_H-M_alt 'P 1'
_space_group_IT_number 1
_space_group_name_Hall 'P 1'
_cell_length_a 8.0833
_cell_length_b 8.0833
_cell_length_c 9.0025
_cell_angle_alpha 98.61
_cell_angle_beta 98.61
_cell_angle_gamma 120.01
loop_
_atom_site_label
_atom_site_type_symbol
_atom_site_fract_x
_atom_site_fract_y
_atom_site_fract_z
_atom_site_occupancy
Rb1 Rb 0.0000 0.0000 0.0000 1
Rb2 Rb 0.3336 0.6664 0.0000 1
Rb3 Rb 0.6664 0.3336 0.0000 1
La1 La 0.5000 0.5000 0.5000 1
Bi1 Bi 0.1667 0.8333 0.5000 1
Bi2 Bi 0.8333 0.1667 0.5000 1
Te1 Te 0.0919 0.4321 0.2963 1
Te2 Te 0.2279 0.2279 0.7037 1
Te3 Te 0.4321 0.0919 0.2963 1
Te4 Te 0.5679 0.9081 0.7037 1
Te5 Te 0.7721 0.7721 0.2963 1
Te6 Te 0.9081 0.5679 0.7037 1
```

Calculated values
Crystal system: monoclinic
Calculated total energy in eV/atom: -3.7723
Total moment in μB per formula unit: 0.0
Formation energy without anion corrections in meV per atom: -902

Entry 2:
LaReBi2: relaxed, PBE-GGA.

Geometry as CIF:
```
data_LaReBi2
_chemical_formula_sum 'La4 Re4 Bi8'
_space_group_name_H-M_alt 'P 1'
_space_group_IT_number 1
_space_group_name_Hall 'P 1'
_cell_length_a 5.3548
_cell_length_b 5.3548
_cell_length_c 18.0203
_cell_angle_alpha 90.00
_cell_angle_beta 90.00
_cell_angle_gamma 90.00
loop_
_atom_site_label
_atom_site_type_symbol
_atom_site_fract_x
_atom_site_fract_y
_atom_site_fract_z
_atom_site_occupancy
La1 La 0.0000 0.0000 0.0000 1
La2 La 0.0000 0.5000 0.2500 1
La3 La 0.5000 0.0000 0.7500 1
La4 La 0.5000 0.5000 0.5000 1
Re1 Re 0.0000 0.0000 0.5000 1
Re2 Re 0.0000 0.5000 0.7500 1
Re3 Re 0.5000 0.0000 0.2500 1
Re4 Re 0.5000 0.5000 0.0000 1
Bi1 Bi 0.1523 0.2500 0.6250 1
Bi2 Bi 0.2500 0.6523 0.8750 1
Bi3 Bi 0.2500 0.8477 0.3750 1
Bi4 Bi 0.3477 0.2500 0.1250 1
Bi5 Bi 0.6523 0.7500 0.1250 1
Bi6 Bi 0.7500 0.1523 0.3750 1
Bi7 Bi 0.7500 0.3477 0.8750 1
Bi8 Bi 0.8477 0.7500 0.6250 1
```

Calculated values
ΔE_f in eV per atom: 0.64
Crystal system: tetragonal
Calculated total energy in eV/atom: -5.6411
Relative energy among the computed polymorphs in kJ/mol of atoms: 37.5
Total moment in μB per formula unit: 0.0

Which value of total moment does entry 1 give?
0.0 μB per formula unit

Repeat the first record exactly.
Rb3LaBi2Te6: relaxed, PBE-GGA.

Geometry as CIF:
```
data_Rb3LaBi2Te6
_chemical_formula_sum 'Rb3 La1 Bi2 Te6'
_space_group_name_H-M_alt 'P 1'
_space_group_IT_number 1
_space_group_name_Hall 'P 1'
_cell_length_a 8.0833
_cell_length_b 8.0833
_cell_length_c 9.0025
_cell_angle_alpha 98.61
_cell_angle_beta 98.61
_cell_angle_gamma 120.01
loop_
_atom_site_label
_atom_site_type_symbol
_atom_site_fract_x
_atom_site_fract_y
_atom_site_fract_z
_atom_site_occupancy
Rb1 Rb 0.0000 0.0000 0.0000 1
Rb2 Rb 0.3336 0.6664 0.0000 1
Rb3 Rb 0.6664 0.3336 0.0000 1
La1 La 0.5000 0.5000 0.5000 1
Bi1 Bi 0.1667 0.8333 0.5000 1
Bi2 Bi 0.8333 0.1667 0.5000 1
Te1 Te 0.0919 0.4321 0.2963 1
Te2 Te 0.2279 0.2279 0.7037 1
Te3 Te 0.4321 0.0919 0.2963 1
Te4 Te 0.5679 0.9081 0.7037 1
Te5 Te 0.7721 0.7721 0.2963 1
Te6 Te 0.9081 0.5679 0.7037 1
```

Calculated values
Crystal system: monoclinic
Calculated total energy in eV/atom: -3.7723
Total moment in μB per formula unit: 0.0
Formation energy without anion corrections in meV per atom: -902